[1]
Here is a PBEsol-optimized structure of Al4Ag3 from Alexandria via LeMat-Bulk. Energies are from SCAN.

Properties
Energy above the most stable polymorph in this dataset = 33 meV/atom
Energy of formation from the pure elements = -0.4 eV per formula unit
Crystal system = orthorhombic
V = 16.15 Å³ per atom
Spin magnetization = 0.00 μB/cell

The structure in POSCAR format:
```
Al4Ag3
1.0
-1.444 1.956 10.008
1.444 -1.956 10.008
1.444 1.956 -10.008
Al Ag
4 3
Direct
0.000 0.000 0.000 Al
0.144 0.144 0.000 Al
0.291 0.291 0.000 Al
0.573 0.573 0.000 Al
0.435 0.435 0.000 Ag
0.715 0.715 0.000 Ag
0.857 0.857 0.000 Ag
```


[2]
Here is a PBEsol-optimized structure of Ca2NiIr from Alexandria via LeMat-Bulk. Energies are from SCAN.

Properties
Energy of formation from the pure elements = 0.0 eV per formula unit
Crystal system = tetragonal
V = 22.19 Å³ per atom
Spin magnetization = 0.10 μB/cell

The structure in POSCAR format:
```
Ca2NiIr
1.0
3.323 0.000 0.000
0.000 3.323 0.000
0.000 0.000 8.039
Ca Ni Ir
2 1 1
Direct
0.000 0.000 0.000 Ca
0.500 0.500 0.417 Ca
0.500 0.500 0.756 Ni
0.000 0.000 0.659 Ir
```


[3]
Here is a PBEsol-optimized structure of CuP2Ir from Alexandria via LeMat-Bulk. Energies are from SCAN.

Properties
Energy above the most stable polymorph in this dataset = 495 meV/atom
Energy of formation from the pure elements = 1.2 eV per formula unit
Crystal system = orthorhombic
V = 13.05 Å³ per atom
Spin magnetization = 0.00 μB/cell

The structure in POSCAR format:
```
CuP2Ir
1.0
2.699 -3.288 0.000
2.699 3.288 0.000
0.000 0.000 2.941
Cu P Ir
1 2 1
Direct
0.000 0.000 0.000 Cu
0.000 0.500 0.500 P
0.500 0.000 0.500 P
0.500 0.500 0.000 Ir
```


[4]
Here is a PBEsol-optimized structure of KSrZr2 from Alexandria via LeMat-Bulk. Energies are from SCAN.

Properties
Energy above the most stable polymorph in this dataset = 0 meV/atom
Energy of formation from the pure elements = 3.4 eV per formula unit
Crystal system = orthorhombic
V = 29.55 Å³ per atom
Spin magnetization = 0.00 μB/cell

The structure in POSCAR format:
```
KSrZr2
1.0
1.689 -2.714 0.000
1.689 2.714 0.000
0.000 0.000 12.889
K Sr Zr
1 1 2
Direct
0.000 0.000 0.000 K
0.000 0.000 0.500 Sr
0.500 0.500 0.266 Zr
0.500 0.500 0.734 Zr
```


[5]
Here is a PBEsol-optimized structure of ScNiH2 from Alexandria via LeMat-Bulk. Energies are from SCAN.

Properties
Total energy = -9.43 eV/atom
Crystal system = cubic
V = 8.75 Å³ per atom
Spin magnetization = 0.47 μB/cell

The structure in POSCAR format:
```
ScNiH2
1.0
0.000 2.596 2.596
2.596 0.000 2.596
2.596 2.596 0.000
Sc Ni H
1 1 2
Direct
0.000 0.000 0.000 Sc
0.500 0.500 0.500 Ni
0.250 0.250 0.250 H
0.750 0.750 0.750 H
```


[6]
Here is a PBEsol-optimized structure of NaHfP2O from Alexandria via LeMat-Bulk. Energies are from SCAN.

Properties
Uncorrected formation energy = 0.60 eV/atom
Crystal system = tetragonal
V = 16.29 Å³ per atom
Spin magnetization = 0.95 μB/cell

The structure in POSCAR format:
```
NaHfP2O
1.0
4.608 0.000 0.000
0.000 4.608 0.000
0.000 0.000 3.836
Na Hf P O
1 1 2 1
Direct
0.000 0.000 0.000 Na
0.500 0.500 0.500 Hf
0.000 0.500 0.000 P
0.500 0.000 0.000 P
0.000 0.000 0.500 O
```


[7]
Here is a PBEsol-optimized structure of LaTa2Cu from Alexandria via LeMat-Bulk. Energies are from SCAN.

Properties
Energy above the most stable polymorph in this dataset = 0 meV/atom
Energy of formation from the pure elements = 2.5 eV per formula unit
Crystal system = tetragonal
V = 19.32 Å³ per atom
Spin magnetization = 0.00 μB/cell

The structure in POSCAR format:
```
LaTa2Cu
1.0
-2.045 2.045 4.621
2.045 -2.045 4.621
2.045 2.045 -4.621
La Ta Cu
1 2 1
Direct
0.000 0.000 0.000 La
0.250 0.750 0.500 Ta
0.750 0.250 0.500 Ta
0.500 0.500 0.000 Cu
```


[8]
Here is a PBEsol-optimized structure of Ni3TeAs from Alexandria via LeMat-Bulk. Energies are from SCAN.

Properties
Uncorrected formation energy = 0.96 eV/atom
Crystal system = cubic
V = 19.03 Å³ per atom
Spin magnetization = 0.00 μB/cell

The structure in POSCAR format:
```
Ni3TeAs
1.0
4.565 0.000 0.000
0.000 4.565 0.000
0.000 0.000 4.565
Ni Te As
3 1 1
Direct
0.000 0.000 0.500 Ni
0.000 0.500 0.000 Ni
0.500 0.000 0.000 Ni
0.000 0.000 0.000 Te
0.500 0.500 0.500 As
```


[9]
Here is a PBEsol-optimized structure of Mg2AlFe from Alexandria via LeMat-Bulk. Energies are from SCAN.

Properties
Energy of formation from the pure elements = 0.5 eV per formula unit
Crystal system = trigonal
V = 16.82 Å³ per atom
Spin magnetization = 2.48 μB/cell

The structure in POSCAR format:
```
Mg2AlFe
1.0
1.454 0.839 9.187
-1.454 0.839 9.187
0.000 -1.679 9.187
Mg Al Fe
2 1 1
Direct
0.000 0.000 0.000 Mg
0.236 0.236 0.236 Mg
0.756 0.756 0.756 Al
0.492 0.492 0.492 Fe
```


[10]
Here is a PBEsol-optimized structure of MnIN2 from Alexandria via LeMat-Bulk. Energies are from SCAN.

Properties
Uncorrected formation energy = 0.38 eV/atom
Energy above the most stable polymorph in this dataset = 0 meV/atom
Crystal system = trigonal
V = 13.03 Å³ per atom
Spin magnetization = 2.90 μB/cell

The structure in POSCAR format:
```
MnIN2
1.0
1.555 0.898 6.219
-1.555 0.898 6.219
0.000 -1.796 6.219
Mn I N
1 1 2
Direct
0.000 0.000 0.000 Mn
0.500 0.500 0.500 I
0.383 0.383 0.383 N
0.617 0.617 0.617 N
```


[11]
Here is a PBEsol-optimized structure of Cd2SiP from Alexandria via LeMat-Bulk. Energies are from SCAN.

Properties
Uncorrected formation energy = 0.47 eV/atom
Energy above the most stable polymorph in this dataset = 4 meV/atom
Crystal system = monoclinic
V = 19.03 Å³ per atom
Spin magnetization = 0.00 μB/cell

The structure in POSCAR format:
```
Cd2SiP
1.0
3.904 -3.698 0.000
3.904 3.698 0.000
-0.694 0.000 2.636
Cd Si P
2 1 1
Direct
0.000 0.500 0.000 Cd
0.500 0.000 0.000 Cd
0.000 0.000 0.500 Si
0.500 0.500 0.500 P
```


[12]
Here is a PBEsol-optimized structure of CuBrCl2 from Alexandria via LeMat-Bulk. Energies are from SCAN.

Properties
Uncorrected formation energy = -0.28 eV/atom
Crystal system = orthorhombic
V = 26.91 Å³ per atom
Spin magnetization = 1.07 μB/cell

The structure in POSCAR format:
```
CuBrCl2
1.0
1.486 -3.699 0.000
1.486 3.699 0.000
0.000 0.000 9.792
Cu Br Cl
1 1 2
Direct
0.000 0.000 0.000 Cu
0.000 0.000 0.500 Br
0.500 0.500 0.165 Cl
0.500 0.500 0.835 Cl
```


[13]
Here is a PBEsol-optimized structure of U3VSb5 from Alexandria via LeMat-Bulk. Energies are from SCAN.

Properties
Uncorrected formation energy = -0.21 eV/atom
Crystal system = hexagonal
V = 22.72 Å³ per atom
Spin magnetization = 10.34 μB/cell

The structure in POSCAR format:
```
U3VSb5
1.0
8.895 0.000 0.000
-4.447 7.703 0.000
0.000 0.000 5.970
U V Sb
6 2 10
Direct
0.000 0.389 0.250 U
0.000 0.611 0.750 U
0.389 0.000 0.250 U
0.389 0.389 0.750 U
0.611 0.000 0.750 U
0.611 0.611 0.250 U
0.000 0.000 0.000 V
0.000 0.000 0.500 V
0.000 0.259 0.750 Sb
0.000 0.741 0.250 Sb
0.259 0.000 0.750 Sb
0.259 0.259 0.250 Sb
0.333 0.667 0.000 Sb
0.333 0.667 0.500 Sb
0.667 0.333 0.000 Sb
0.667 0.333 0.500 Sb
0.741 0.000 0.250 Sb
0.741 0.741 0.750 Sb
```


[14]
Here is a PBEsol-optimized structure of CaLa2Mg from Alexandria via LeMat-Bulk. Energies are from SCAN.

Properties
Energy of formation from the pure elements = -0.1 eV per formula unit
Crystal system = monoclinic
V = 32.74 Å³ per atom
Spin magnetization = 0.00 μB/cell

The structure in POSCAR format:
```
CaLa2Mg
1.0
6.827 -1.867 0.000
6.827 1.867 0.000
-2.320 0.000 5.138
Ca La Mg
1 2 1
Direct
0.000 0.000 0.000 Ca
0.221 0.221 0.720 La
0.779 0.779 0.280 La
0.500 0.500 0.500 Mg
```


[15]
Here is a PBEsol-optimized structure of CaAg2Pd2 from Alexandria via LeMat-Bulk. Energies are from SCAN.

Properties
Energy of formation from the pure elements = -1.0 eV per formula unit
Crystal system = tetragonal
V = 19.30 Å³ per atom
Spin magnetization = 0.00 μB/cell

The structure in POSCAR format:
```
CaAg2Pd2
1.0
-1.964 1.964 6.253
1.964 -1.964 6.253
1.964 1.964 -6.253
Ca Ag Pd
1 2 2
Direct
0.000 0.000 0.000 Ca
0.396 0.396 0.000 Ag
0.604 0.604 0.000 Ag
0.250 0.750 0.500 Pd
0.750 0.250 0.500 Pd
```


[16]
Here is a PBEsol-optimized structure of Al2Co3Si3O12 from Alexandria via LeMat-Bulk. Energies are from SCAN.

Properties
Uncorrected formation energy = -2.56 eV/atom
Crystal system = cubic
V = 9.30 Å³ per atom
Spin magnetization = 36.00 μB/cell

The structure in POSCAR format:
```
Al2Co3Si3O12
1.0
-5.708 5.708 5.708
5.708 -5.708 5.708
5.708 5.708 -5.708
Al Co Si O
8 12 12 48
Direct
0.000 0.000 0.000 Al
0.000 0.000 0.500 Al
0.000 0.500 0.000 Al
0.000 0.500 0.500 Al
0.500 0.000 0.000 Al
0.500 0.000 0.500 Al
0.500 0.500 0.000 Al
0.500 0.500 0.500 Al
0.125 0.250 0.375 Co
0.125 0.375 0.750 Co
0.250 0.375 0.125 Co
0.250 0.875 0.625 Co
0.375 0.125 0.250 Co
0.375 0.750 0.125 Co
0.625 0.250 0.875 Co
0.625 0.875 0.750 Co
0.750 0.125 0.375 Co
0.750 0.625 0.875 Co
0.875 0.625 0.250 Co
0.875 0.750 0.625 Co
0.125 0.750 0.875 Si
0.125 0.875 0.250 Si
0.250 0.125 0.875 Si
0.250 0.625 0.375 Si
0.375 0.250 0.625 Si
0.375 0.625 0.750 Si
0.625 0.375 0.250 Si
0.625 0.750 0.375 Si
0.750 0.375 0.625 Si
0.750 0.875 0.125 Si
0.875 0.125 0.750 Si
0.875 0.250 0.125 Si
0.020 0.206 0.120 O
0.020 0.314 0.901 O
0.087 0.706 0.686 O
0.087 0.880 0.401 O
0.099 0.620 0.413 O
0.099 0.980 0.686 O
0.120 0.020 0.206 O
0.120 0.599 0.913 O
0.186 0.206 0.587 O
0.186 0.480 0.599 O
0.206 0.120 0.020 O
0.206 0.587 0.186 O
0.294 0.314 0.913 O
0.294 0.480 0.380 O
0.314 0.901 0.020 O
0.314 0.913 0.294 O
0.380 0.294 0.480 O
0.380 0.587 0.901 O
0.401 0.087 0.880 O
0.401 0.814 0.520 O
0.413 0.099 0.620 O
0.413 0.814 0.794 O
0.480 0.380 0.294 O
0.480 0.599 0.186 O
0.520 0.401 0.814 O
0.520 0.620 0.706 O
0.587 0.186 0.206 O
0.587 0.901 0.380 O
0.599 0.186 0.480 O
0.599 0.913 0.120 O
0.620 0.413 0.099 O
0.620 0.706 0.520 O
0.686 0.087 0.706 O
0.686 0.099 0.980 O
0.706 0.520 0.620 O
0.706 0.686 0.087 O
0.794 0.413 0.814 O
0.794 0.880 0.980 O
0.814 0.520 0.401 O
0.814 0.794 0.413 O
0.880 0.401 0.087 O
0.880 0.980 0.794 O
0.901 0.020 0.314 O
0.901 0.380 0.587 O
0.913 0.120 0.599 O
0.913 0.294 0.314 O
0.980 0.686 0.099 O
0.980 0.794 0.880 O
```


[17]
Here is a PBEsol-optimized structure of Hf2SnGeC from Alexandria via LeMat-Bulk. Energies are from SCAN.

Properties
Energy of formation from the pure elements = 12.5 eV per formula unit
Crystal system = tetragonal
V = 26.66 Å³ per atom
Spin magnetization = 0.00 μB/cell

The structure in POSCAR format:
```
Hf2SnGeC
1.0
5.250 0.000 0.000
0.000 5.250 0.000
0.000 0.000 4.836
Hf Sn Ge C
2 1 1 1
Direct
0.000 0.500 0.000 Hf
0.500 0.000 0.000 Hf
0.000 0.000 0.000 Sn
0.000 0.000 0.500 Ge
0.500 0.500 0.500 C
```


[18]
Here is a PBEsol-optimized structure of CaTe2Se from Alexandria via LeMat-Bulk. Energies are from SCAN.

Properties
Uncorrected formation energy = -0.42 eV/atom
Crystal system = cubic
V = 26.29 Å³ per atom
Spin magnetization = 0.00 μB/cell

The structure in POSCAR format:
```
CaTe2Se
1.0
0.000 3.746 3.746
3.746 0.000 3.746
3.746 3.746 0.000
Ca Te Se
1 2 1
Direct
0.000 0.000 0.000 Ca
0.250 0.250 0.250 Te
0.500 0.500 0.500 Te
0.750 0.750 0.750 Se
```


[19]
Here is a PBEsol-optimized structure of MnCuW3 from Alexandria via LeMat-Bulk. Energies are from SCAN.

Properties
Energy above the most stable polymorph in this dataset = 0 meV/atom
Energy of formation from the pure elements = 8.2 eV per formula unit
Crystal system = cubic
V = 16.99 Å³ per atom
Spin magnetization = 0.00 μB/cell

The structure in POSCAR format:
```
MnCuW3
1.0
4.396 0.000 0.000
0.000 4.396 0.000
0.000 0.000 4.396
Mn Cu W
1 1 3
Direct
0.000 0.000 0.000 Mn
0.500 0.500 0.500 Cu
0.000 0.000 0.500 W
0.000 0.500 0.000 W
0.500 0.000 0.000 W
```


[20]
Here is a PBEsol-optimized structure of Dy3In from Alexandria via LeMat-Bulk. Energies are from SCAN.

Properties
Energy of formation from the pure elements = -1.5 eV per formula unit
Crystal system = cubic
V = 26.64 Å³ per atom
Spin magnetization = 1.04 μB/cell

The structure in POSCAR format:
```
Dy3In
1.0
4.741 0.000 0.000
0.000 4.741 0.000
0.000 0.000 4.741
Dy In
3 1
Direct
0.000 0.000 0.500 Dy
0.000 0.500 0.000 Dy
0.500 0.000 0.000 Dy
0.500 0.500 0.500 In
```


[21]
Here is a PBEsol-optimized structure of Li2MnCrO4 from Alexandria via LeMat-Bulk. Energies are from SCAN.

Properties
Uncorrected formation energy = -2.36 eV/atom
Energy above the most stable polymorph in this dataset = 13 meV/atom
Crystal system = monoclinic
V = 8.82 Å³ per atom
Spin magnetization = 7.00 μB/cell

The structure in POSCAR format:
```
Li2MnCrO4
1.0
5.123 0.000 0.000
0.000 2.865 0.000
-1.958 0.000 4.808
Li Mn Cr O
2 1 1 4
Direct
0.000 0.000 0.000 Li
0.000 0.500 0.500 Li
0.500 0.000 0.500 Mn
0.500 0.500 0.000 Cr
0.256 0.000 0.770 O
0.290 0.500 0.255 O
0.710 0.500 0.745 O
0.744 0.000 0.230 O
```


[22]
Here is a PBEsol-optimized structure of LaMgTc4 from Alexandria via LeMat-Bulk. Energies are from SCAN.

Properties
Energy of formation from the pure elements = 1.0 eV per formula unit
Crystal system = cubic
V = 17.71 Å³ per atom
Spin magnetization = 0.00 μB/cell

The structure in POSCAR format:
```
LaMgTc4
1.0
0.000 3.759 3.759
3.759 0.000 3.759
3.759 3.759 0.000
La Mg Tc
1 1 4
Direct
0.000 0.000 0.000 La
0.750 0.750 0.750 Mg
0.376 0.376 0.376 Tc
0.376 0.376 0.873 Tc
0.376 0.873 0.376 Tc
0.873 0.376 0.376 Tc
```


[23]
Here is a PBEsol-optimized structure of B2PdW from Alexandria via LeMat-Bulk. Energies are from SCAN.

Properties
Energy of formation from the pure elements = 2.0 eV per formula unit
Crystal system = tetragonal
V = 11.44 Å³ per atom
Spin magnetization = 0.00 μB/cell

The structure in POSCAR format:
```
B2PdW
1.0
-2.863 2.863 2.790
2.863 -2.863 2.790
2.863 2.863 -2.790
B Pd W
4 2 2
Direct
0.115 0.125 0.490 B
0.375 0.885 0.010 B
0.635 0.625 0.510 B
0.875 0.365 0.990 B
0.000 0.000 0.000 Pd
0.750 0.250 0.500 Pd
0.250 0.750 0.500 W
0.500 0.500 0.000 W
```